Entry from Alexandria: crystalline Cd2RhPb2 at its relaxed geometry (PBE).

Cell: 7.711 7.711 7.711 Å, 130.79 68.96 134.88°
Sites, in units of the cell vectors:
Cd 0.086 0.158 0.244
Cd 0.414 0.658 0.072
Cd 0.586 0.342 0.928
Cd 0.914 0.842 0.756
Rh 0.250 0.750 0.500
Rh 0.750 0.250 0.500
Pb 0.166 0.672 0.839
Pb 0.334 0.172 0.506
Pb 0.666 0.828 0.494
Pb 0.834 0.328 0.161

Results
formation energy from the elements	-0.066	eV per atom
crystal system	orthorhombic
energy above the lowest structure with this stoichiometry	0	meV/atom
ρ	10.21	Mg/m³